! V3SbPb | Alexandria via LeMat-Bulk | PBE | optimized geometry; values from VASP
&SYSTEM
  ibrav = 0, nat = 5, ntyp = 3
/
ATOMIC_SPECIES
V 50.94 V.upf
Sb 121.76 Sb.upf
Pb 207.20 Pb.upf
ATOMIC_POSITIONS crystal
V 0.0000 0.0000 0.5000
V 0.0000 0.5000 0.0000
V 0.5000 0.0000 0.0000
Sb 0.0000 0.0000 0.0000
Pb 0.5000 0.5000 0.5000
CELL_PARAMETERS angstrom
5.0538 0.0000 0.0000
0.0000 5.0538 0.0000
0.0000 0.0000 5.0538
! ΔE_f (raw) (eV per atom): 1.098
! Spin magnetization (μB per cell): 8.110
! ρ (g/cm3): 6.2
! SG: Pm-3m
! Relative energy among the computed polymorphs (kJ/mol of formula units): 0